! PBEsol Ga3CuHg, relaxed; values from VASP
&SYSTEM
  ibrav = 0, nat = 5, ntyp = 3
/
ATOMIC_SPECIES
Ga 69.72 Ga.upf
Cu 63.55 Cu.upf
Hg 200.59 Hg.upf
CELL_PARAMETERS angstrom
4.651 0.000 0.000
0.000 4.651 0.000
0.000 0.000 4.651
ATOMIC_POSITIONS crystal
Ga 0.000 0.000 0.500
Ga 0.000 0.500 0.000
Ga 0.500 0.000 0.000
Cu 0.000 0.000 0.000
Hg 0.500 0.500 0.500
! formation energy = 131 meV/atom
! crystal system = cubic